[1]
CePr: optimized geometry, PBE.

Its formation energy is 0.3 eV/f.u. The calculated density comes out at 6.97 g cm⁻³. The total energy is -5.224 eV per atom.

Structure (POSCAR):
```
CePr
1.0
3.8603 0.0000 0.0000
-1.9302 3.3430 0.0000
0.0000 0.0000 10.3762
Pr Ce
2 2
Cartesian
1.9301 1.1144 8.8945 Pr
0.0000 2.2286 1.4816 Pr
0.0000 2.2286 5.9499 Ce
1.9301 1.1144 4.4263 Ce
```


[2]
YGa2Fe2C: optimized geometry, PBE.

Its formation energy is -2.0 eV/f.u. The calculated density comes out at 7.07 g cm⁻³. The total energy is -6.773 eV per atom.

Structure (POSCAR):
```
YGa2Fe2C
1.0
-2.4337 2.4513 -1.7220
-0.1030 -2.2858 -3.1083
-4.3027 -2.7507 2.1654
C Fe Ga Y
1 2 2 1
Cartesian
0.0000 0.0000 0.0000 C
-0.0515 -1.1429 -1.5542 Fe
-1.2169 1.2257 -0.8610 Fe
-4.3927 -1.9146 -0.8428 Ga
-2.4467 -0.6705 -1.8221 Ga
-2.1514 -1.3754 1.0827 Y
```


[3]
AcNdAsS: optimized geometry, PBE.

The calculated density comes out at 7.03 g cm⁻³. The total energy is -6.186 eV per atom.

Structure (POSCAR):
```
AcNdAsS
1.0
-0.2873 -1.2902 4.1072
3.5024 -1.4630 2.0517
2.5327 5.5902 4.1995
As Ac Nd S
1 1 1 1
Cartesian
3.0977 2.4153 5.5080 As
4.5588 3.2321 8.1331 Ac
1.6802 1.7926 2.9469 Nd
3.4801 -1.5726 6.5483 S
```


[4]
MgGa6Ag: optimized geometry, PBE.

Its formation energy is 0.4 eV/f.u. The calculated density comes out at 5.55 g cm⁻³. The total energy is -2.776 eV per atom.

Structure (POSCAR):
```
MgGa6Ag
1.0
-4.5455 -1.5643 1.9086
-3.0921 -1.8741 -3.6983
0.9458 -6.7650 0.6190
Ga Ag Mg
6 1 1
Cartesian
-1.5042 -3.0644 -1.6259 Ga
-4.7500 -2.6553 -1.0845 Ga
-5.1876 -7.1390 0.4551 Ga
-1.9419 -7.5481 -0.0863 Ga
-2.1850 -2.9193 1.0003 Ga
-4.5069 -7.2842 -2.1711 Ga
-3.3459 -5.1017 -0.5854 Ag
0.0000 0.0000 0.0000 Mg
```